# 1
# Sc2AsIr

Crystalline Sc2AsIr at its relaxed geometry (PBE, Alexandria).

The space group is F-43m (No. 216) and the conventional cell measures 6.531, 6.531 and 6.531 Å, with angles of 90.00, 90.00 and 90.00 degrees. The asymmetric unit holds Sc at (0.000, 0.000, 0.000), Sc at (0.250, 0.250, 0.250), As at (0.250, 0.250, 0.750) and Ir at (0.000, 0.000, 0.500).

# 2
# ScAsIr2

Crystalline ScAsIr2 at its relaxed geometry (PBE, Alexandria).

The space group is C2/m (No. 12) and the conventional cell measures 8.957, 2.991 and 4.859 Å, with angles of 90.00, 100.19 and 90.00 degrees. The asymmetric unit holds Sc at (0.000, 0.000, 0.000), As at (0.000, 0.500, 0.500) and Ir at (0.248, 0.500, 0.256).

no.,Fermi-level density of states (states/eV per atom),ΔE_f (eV per atom)
1,0.917,-0.4570
2,0.801,-0.4451